VASP calculation (PBE with a Hubbard U) on a relaxed Rb3Na2NiF9 crystal.

The calculation puts the raw total energy at -3.3159 eV/atom. The total magnetization is 4.02 μB per cell.

The space group is P-3m1 (No. 164) and the conventional cell measures 5.6226, 5.6226 and 11.9388 Å, with angles of 90.00, 90.00 and 120.00 degrees. The distinct sites, in fractional coordinates, are Rb at (0.0000, 0.0000, 0.0000), Rb at (0.3333, 0.6667, 0.1958), Na at (0.3333, 0.6667, 0.5035), Ni at (0.0000, 0.0000, 0.5000), F at (0.0000, 0.5000, 0.0000) and F at (0.0030, 0.5015, 0.3804).